This record from Alexandria describes a relaxed Ta2PdF crystal. The functional is PBE.

Summary:
The value obtained for the raw formation energy is -0.25 eV/atom. As for the space group: No. 225. The energy above the most stable polymorph in this dataset comes out at 0.0 meV/atom. The magnetic moment comes out at 0.00 μB/cell. For the volume, the calculation gives 15.5 Å³ per atom.

Structure (extended XYZ):
```
4
Lattice="0.000 3.142 3.142 3.142 0.000 3.142 3.142 3.142 0.000" Properties=species:S:1:pos:R:3 pbc="T T T"
Pd 3.142 3.142 3.142
Ta 1.571 1.571 1.571
F 0.000 0.000 0.000
Ta 4.713 4.713 4.713
```

This record from Alexandria describes a relaxed SnMo3S crystal. The functional is PBE.

Summary:
The value obtained for the raw formation energy is 2.47 eV/atom. As for the space group: No. 221. The energy above the most stable polymorph in this dataset comes out at 2112.9 meV/atom. The magnetic moment comes out at 0.00 μB/cell. For the volume, the calculation gives 24.2 Å³ per atom.

Structure (extended XYZ):
```
5
Lattice="4.943 0.000 0.000 0.000 4.943 0.000 0.000 0.000 4.943" Properties=species:S:1:pos:R:3 pbc="T T T"
Sn 0.000 0.000 0.000
Mo 0.000 0.000 2.472
Mo 2.472 0.000 0.000
S 2.472 2.472 2.472
Mo 0.000 2.472 0.000
```

This record from Alexandria describes a relaxed Y2MoP crystal. The functional is PBE.

Summary:
As for the space group: No. 8. The magnetic moment comes out at 0.00 μB/cell. For the volume, the calculation gives 21.8 Å³ per atom. As for the formation energy from the elements: -336 meV per atom.

Structure (extended XYZ):
```
4
Lattice="2.095 -4.845 1.997 4.492 -3.416 -0.082 2.658 1.215 3.902" Properties=species:S:1:pos:R:3 pbc="T T T"
P 7.215 -5.522 4.524
Mo 4.285 -2.908 2.942
Y 2.338 -1.722 1.512
Y 2.688 0.799 3.649
```

This record from Alexandria describes a relaxed Co12NiPt4 crystal. The functional is PBE.

Summary:
As for the space group: No. 204. The magnetic moment comes out at 26.00 μB/cell. For the volume, the calculation gives 21.5 Å³ per atom. As for the formation energy from the elements: 807 meV per atom.

Structure (extended XYZ):
```
17
Lattice="7.342 -0.022 -2.620 -3.670 6.364 -2.606 0.025 0.022 7.795" Properties=species:S:1:pos:R:3 pbc="T T T"
Co -0.497 2.611 0.708
Co -1.994 4.628 0.707
Pt -1.835 3.182 -1.303
Pt 0.013 0.011 3.898
Co 5.844 0.862 -0.489
Co 0.011 4.628 2.116
Co -0.652 4.063 4.472
Co -2.148 5.502 3.058
Co 4.349 2.301 -1.903
Ni -1.823 3.193 2.595
Co 3.356 4.041 -0.490
Pt 1.848 3.182 1.284
Co 0.341 2.323 3.059
Co 3.686 1.736 0.453
Pt 3.671 -0.011 -1.310
Co 4.194 3.753 1.861
Co 5.691 1.736 1.861
```

Question: The highest magnetic moment belongs to which entry?
Answer: Co12NiPt4